{
  "formula": "LiSc2Zn5",
  "functional": "GGA-PBE",
  "state": "relaxed",
  "lattice_angstrom": [[4.3658, 0.0000, 0.0000], [0.0000, 4.3658, 0.0000], [-2.1829, -2.1829, 6.9542]],
  "species": ["Zn", "Sc", "Zn", "Zn", "Li", "Sc", "Zn", "Zn"],
  "fractional_positions": [[0.3892, 0.8892, 0.7783], [0.2582, 0.2582, 0.5165], [0.8892, 0.3892, 0.7783], [0.5000, 0.5000, 0.0000], [0.0000, 0.0000, 0.0000], [0.7418, 0.7418, 0.4835], [0.1108, 0.6108, 0.2217], [0.6108, 0.1108, 0.2217]],
  "ef_mev_per_atom": -251,
  "e_tot_ev_per_atom": -2.87
}